Entry 1:
# HoHgGe2 PBE optimized geometry
data_HoHgGe2
_cell_length_a 4.7854
_cell_length_b 4.7854
_cell_length_c 20.9848
_cell_angle_alpha 90.00
_cell_angle_beta 90.00
_cell_angle_gamma 120.00
_symmetry_space_group_name_H-M 'R -3 m'
_symmetry_Int_Tables_number 166
_symmetry_space_group_name_Hall '-R 3 2"'
loop_
_atom_site_label
_atom_site_fract_x
_atom_site_fract_y
_atom_site_fract_z
Ho1 0.0000 0.0000 0.0000
Hg1 0.0000 0.0000 0.5000
Ge1 0.0000 0.0000 0.3739
# Formation energy from the elements (eV/atom): 0.17
# E (eV per atom): -3.363
# Energy relative to the lowest polymorph listed for this composition (meV per atom): 535

Entry 2:
# LiHoHgGe PBE optimized geometry
data_LiHoHgGe
_cell_length_a 6.971
_cell_length_b 6.971
_cell_length_c 6.971
_cell_angle_alpha 90.00
_cell_angle_beta 90.00
_cell_angle_gamma 90.00
_symmetry_space_group_name_H-M 'F -4 3 m'
_symmetry_Int_Tables_number 216
_symmetry_space_group_name_Hall 'F -4 2 3'
loop_
_atom_site_label
_atom_site_fract_x
_atom_site_fract_y
_atom_site_fract_z
Li1 0.000 0.000 0.000
Ho1 0.000 0.000 0.500
Hg1 0.250 0.250 0.250
Ge1 0.250 0.250 0.750
# Formation energy from the elements (eV/atom): -0.50
# E (eV per atom): -3.353

Entry 3:
# HoMgHgGe PBE optimized geometry
data_HoMgHgGe
_cell_length_a 7.077
_cell_length_b 7.077
_cell_length_c 7.077
_cell_angle_alpha 90.00
_cell_angle_beta 90.00
_cell_angle_gamma 90.00
_symmetry_space_group_name_H-M 'F -4 3 m'
_symmetry_Int_Tables_number 216
_symmetry_space_group_name_Hall 'F -4 2 3'
loop_
_atom_site_label
_atom_site_fract_x
_atom_site_fract_y
_atom_site_fract_z
Ho1 0.000 0.000 0.000
Mg1 0.000 0.000 0.500
Hg1 0.250 0.250 0.750
Ge1 0.250 0.250 0.250
# Formation energy from the elements (eV/atom): -0.38
# E (eV per atom): -3.152

Entry 4:
# NaHoHgGe PBE optimized geometry
data_NaHoHgGe
_cell_length_a 7.194
_cell_length_b 7.194
_cell_length_c 7.194
_cell_angle_alpha 90.00
_cell_angle_beta 90.00
_cell_angle_gamma 90.00
_symmetry_space_group_name_H-M 'F -4 3 m'
_symmetry_Int_Tables_number 216
_symmetry_space_group_name_Hall 'F -4 2 3'
loop_
_atom_site_label
_atom_site_fract_x
_atom_site_fract_y
_atom_site_fract_z
Na1 0.000 0.000 0.000
Ho1 0.000 0.000 0.500
Hg1 0.250 0.250 0.250
Ge1 0.250 0.250 0.750
# Formation energy from the elements (eV/atom): -0.38
# E (eV per atom): -3.089

Entry 5:
# HoPaHgGe PBE optimized geometry
data_HoPaHgGe
_cell_length_a 7.283
_cell_length_b 7.283
_cell_length_c 7.283
_cell_angle_alpha 90.00
_cell_angle_beta 90.00
_cell_angle_gamma 90.00
_symmetry_space_group_name_H-M 'F -4 3 m'
_symmetry_Int_Tables_number 216
_symmetry_space_group_name_Hall 'F -4 2 3'
loop_
_atom_site_label
_atom_site_fract_x
_atom_site_fract_y
_atom_site_fract_z
Ho1 0.000 0.000 0.000
Pa1 0.000 0.000 0.500
Hg1 0.250 0.250 0.250
Ge1 0.250 0.250 0.750
# Formation energy from the elements (eV/atom): -0.22
# E (eV per atom): -4.965

Entry 6:
# PmHoHgGe PBE optimized geometry
data_PmHoHgGe
_cell_length_a 7.358
_cell_length_b 7.358
_cell_length_c 7.358
_cell_angle_alpha 90.00
_cell_angle_beta 90.00
_cell_angle_gamma 90.00
_symmetry_space_group_name_H-M 'F -4 3 m'
_symmetry_Int_Tables_number 216
_symmetry_space_group_name_Hall 'F -4 2 3'
loop_
_atom_site_label
_atom_site_fract_x
_atom_site_fract_y
_atom_site_fract_z
Pm1 0.000 0.000 0.000
Ho1 0.000 0.000 0.500
Hg1 0.250 0.250 0.250
Ge1 0.250 0.250 0.750
# Formation energy from the elements (eV/atom): -0.55
# E (eV per atom): -4.116

Entry 7:
# HoPuHgGe PBE optimized geometry
data_HoPuHgGe
_cell_length_a 7.315
_cell_length_b 7.315
_cell_length_c 7.315
_cell_angle_alpha 90.00
_cell_angle_beta 90.00
_cell_angle_gamma 90.00
_symmetry_space_group_name_H-M 'F -4 3 m'
_symmetry_Int_Tables_number 216
_symmetry_space_group_name_Hall 'F -4 2 3'
loop_
_atom_site_label
_atom_site_fract_x
_atom_site_fract_y
_atom_site_fract_z
Ho1 0.000 0.000 0.000
Pu1 0.000 0.000 0.500
Hg1 0.250 0.250 0.750
Ge1 0.250 0.250 0.250
# Formation energy from the elements (eV/atom): -0.39
# E (eV per atom): -6.345

Entry 8:
# TbHoHgGe PBE optimized geometry
data_TbHoHgGe
_cell_length_a 7.285
_cell_length_b 7.285
_cell_length_c 7.285
_cell_angle_alpha 90.00
_cell_angle_beta 90.00
_cell_angle_gamma 90.00
_symmetry_space_group_name_H-M 'F -4 3 m'
_symmetry_Int_Tables_number 216
_symmetry_space_group_name_Hall 'F -4 2 3'
loop_
_atom_site_label
_atom_site_fract_x
_atom_site_fract_y
_atom_site_fract_z
Tb1 0.000 0.000 0.000
Ho1 0.000 0.000 0.500
Hg1 0.250 0.250 0.250
Ge1 0.250 0.250 0.750
# Formation energy from the elements (eV/atom): -0.55
# E (eV per atom): -4.083

Entry 9:
# Ho6HgGe2Te3 PBE optimized geometry
data_Ho6HgGe2Te3
_cell_length_a 18.811
_cell_length_b 4.225
_cell_length_c 8.678
_cell_angle_alpha 90.00
_cell_angle_beta 105.87
_cell_angle_gamma 90.00
_symmetry_space_group_name_H-M 'C 1 2/m 1'
_symmetry_Int_Tables_number 12
_symmetry_space_group_name_Hall '-C 2y'
loop_
_atom_site_label
_atom_site_fract_x
_atom_site_fract_y
_atom_site_fract_z
Ho1 0.007 0.000 0.253
Ho2 0.168 0.500 0.103
Ho3 0.174 0.500 0.563
Hg1 0.000 0.500 0.000
Ge1 0.165 0.000 0.329
Te1 0.000 0.500 0.500
Te2 0.165 0.000 0.830
# E (eV per atom): -4.910
# Formation energy without anion corrections (meV per atom): -1041

Entry 10:
# Ho4HgGeTe2 PBE optimized geometry
data_Ho4HgGeTe2
_cell_length_a 7.322
_cell_length_b 4.201
_cell_length_c 7.623
_cell_angle_alpha 90.00
_cell_angle_beta 108.08
_cell_angle_gamma 90.00
_symmetry_space_group_name_H-M 'P 1 2/m 1'
_symmetry_Int_Tables_number 10
_symmetry_space_group_name_Hall '-P 2y'
loop_
_atom_site_label
_atom_site_fract_x
_atom_site_fract_y
_atom_site_fract_z
Ho1 0.231 0.000 0.226
Ho2 0.245 0.500 0.762
Hg1 0.500 0.000 0.000
Ge1 0.000 0.500 0.000
Te1 0.000 0.000 0.500
Te2 0.500 0.500 0.500
# E (eV per atom): -4.662
# Formation energy without anion corrections (meV per atom): -973

Entry 11:
# HoThHgGe PBE optimized geometry
data_HoThHgGe
_cell_length_a 7.408
_cell_length_b 7.408
_cell_length_c 7.408
_cell_angle_alpha 90.00
_cell_angle_beta 90.00
_cell_angle_gamma 90.00
_symmetry_space_group_name_H-M 'F -4 3 m'
_symmetry_Int_Tables_number 216
_symmetry_space_group_name_Hall 'F -4 2 3'
loop_
_atom_site_label
_atom_site_fract_x
_atom_site_fract_y
_atom_site_fract_z
Ho1 0.000 0.000 0.000
Th1 0.000 0.000 0.500
Hg1 0.250 0.250 0.250
Ge1 0.250 0.250 0.750
# Formation energy from the elements (eV/atom): -0.43
# E (eV per atom): -4.661

Entry 12:
# YHoHgGe PBE optimized geometry
data_YHoHgGe
_cell_length_a 7.279
_cell_length_b 7.279
_cell_length_c 7.279
_cell_angle_alpha 90.00
_cell_angle_beta 90.00
_cell_angle_gamma 90.00
_symmetry_space_group_name_H-M 'F -4 3 m'
_symmetry_Int_Tables_number 216
_symmetry_space_group_name_Hall 'F -4 2 3'
loop_
_atom_site_label
_atom_site_fract_x
_atom_site_fract_y
_atom_site_fract_z
Y1 0.000 0.000 0.000
Ho1 0.000 0.000 0.500
Hg1 0.250 0.250 0.250
Ge1 0.250 0.250 0.750
# Formation energy from the elements (eV/atom): -0.56
# E (eV per atom): -4.550

Entry 13:
# Hg5GeI2 PBE optimized geometry
data_Hg5GeI2
_cell_length_a 6.711
_cell_length_b 7.287
_cell_length_c 7.289
_cell_angle_alpha 92.40
_cell_angle_beta 117.40
_cell_angle_gamma 117.41
_symmetry_space_group_name_H-M 'P 1'
_symmetry_Int_Tables_number 1
_symmetry_space_group_name_Hall 'P 1'
loop_
_atom_site_label
_atom_site_fract_x
_atom_site_fract_y
_atom_site_fract_z
Hg1 0.000 0.000 0.000
Hg2 0.034 0.435 0.072
Hg3 0.074 0.516 0.511
Hg4 0.513 0.514 0.511
Hg5 0.559 0.001 0.000
Ge1 0.036 0.689 0.823
I1 0.536 0.049 0.465
I2 0.539 0.479 0.039
# E (eV per atom): -1.171
# Formation energy without anion corrections (meV per atom): -17